(a)
# PBE DyGa2Ag3, relaxed
data_DyGa2Ag3
_chemical_formula_sum 'Dy4 Ga8 Ag12'
_cell_length_a 15.869
_cell_length_b 4.454
_cell_length_c 6.940
_cell_angle_alpha 90.00
_cell_angle_beta 108.05
_cell_angle_gamma 90.00
_space_group_name_H-M_alt 'C 1 2/m 1'
_space_group_IT_number 12
_space_group_name_Hall '-C 2y'
loop_
_atom_site_label
_atom_site_fract_x
_atom_site_fract_y
_atom_site_fract_z
_atom_site_occupancy
Dy1 0.120 0.000 0.177 1
Ga1 0.012 0.500 0.823 1
Ga2 0.232 0.000 0.670 1
Ag1 0.066 0.000 0.692 1
Ag2 0.133 0.500 0.500 1
Ag3 0.191 0.500 0.926 1
# - M_tot (μB/atom) = 0.0000
# - N(E_F) (states/eV/f.u.) = 2.1
# - volume (Å³/atom) = 19.4

=====

(b)
# PBE DyGa2Ag3, relaxed
data_DyGa2Ag3
_chemical_formula_sum 'Dy4 Ga8 Ag12'
_cell_length_a 4.395
_cell_length_b 7.974
_cell_length_c 13.686
_cell_angle_alpha 90.00
_cell_angle_beta 90.00
_cell_angle_gamma 90.00
_space_group_name_H-M_alt 'I m m m'
_space_group_IT_number 71
_space_group_name_Hall '-I 2 2'
loop_
_atom_site_label
_atom_site_fract_x
_atom_site_fract_y
_atom_site_fract_z
_atom_site_occupancy
Dy1 0.000 0.000 0.133 1
Ga1 0.000 0.345 0.500 1
Ga2 0.000 0.500 0.194 1
Ag1 0.000 0.199 0.326 1
Ag2 0.000 0.329 0.000 1
# - M_tot (μB/atom) = 0.0000
# - N(E_F) (states/eV/f.u.) = 2.7
# - volume (Å³/atom) = 20.0

=====

It comes down to (a), which is 0.043 eV/atom more stable than the next structure.

=====

(a)
# PBE Dy2Ga3Ag5, relaxed
data_Dy2Ga3Ag5
_chemical_formula_sum 'Dy8 Ga12 Ag20'
_cell_length_a 11.543
_cell_length_b 12.128
_cell_length_c 5.820
_cell_angle_alpha 90.00
_cell_angle_beta 90.00
_cell_angle_gamma 90.00
_space_group_name_H-M_alt 'I b a m'
_space_group_IT_number 72
_space_group_name_Hall '-I 2 2c'
loop_
_atom_site_label
_atom_site_fract_x
_atom_site_fract_y
_atom_site_fract_z
_atom_site_occupancy
Dy1 0.132 0.233 0.000 1
Ga1 0.000 0.500 0.250 1
Ga2 0.131 0.137 0.500 1
Ag1 0.000 0.000 0.250 1
Ag2 0.106 0.346 0.500 1
Ag3 0.243 0.500 0.250 1
# - M_tot (μB/atom) = 0.0000
# - N(E_F) (states/eV/f.u.) = 4.4
# - volume (Å³/atom) = 20.4

=====

(b)
# PBE Dy2Ga3Ag5, relaxed
data_Dy2Ga3Ag5
_chemical_formula_sum 'Dy8 Ga12 Ag20'
_cell_length_a 4.572
_cell_length_b 24.744
_cell_length_c 7.017
_cell_angle_alpha 90.00
_cell_angle_beta 90.00
_cell_angle_gamma 90.00
_space_group_name_H-M_alt 'C m c 21'
_space_group_IT_number 36
_space_group_name_Hall 'C 2c -2'
loop_
_atom_site_label
_atom_site_fract_x
_atom_site_fract_y
_atom_site_fract_z
_atom_site_occupancy
Dy1 0.000 0.014 0.000 1
Dy2 0.000 0.328 0.036 1
Ga1 0.000 0.104 0.696 1
Ga2 0.000 0.271 0.603 1
Ga3 0.000 0.448 0.803 1
Ag1 0.000 0.109 0.298 1
Ag2 0.000 0.197 0.888 1
Ag3 0.000 0.222 0.286 1
Ag4 0.000 0.376 0.513 1
Ag5 0.000 0.449 0.201 1
# - M_tot (μB/atom) = 0.0000
# - N(E_F) (states/eV/f.u.) = 4.3
# - volume (Å³/atom) = 19.8

=====

It comes down to (b), which is 0.030 eV/atom more stable than the next structure.

=====

(a)
# PBE Gd2DyAg, relaxed
data_Gd2DyAg
_chemical_formula_sum 'Gd2 Dy1 Ag1'
_cell_length_a 3.628
_cell_length_b 3.628
_cell_length_c 8.705
_cell_angle_alpha 90.00
_cell_angle_beta 90.00
_cell_angle_gamma 90.00
_space_group_name_H-M_alt 'P 4/m m m'
_space_group_IT_number 123
_space_group_name_Hall '-P 4 2'
loop_
_atom_site_label
_atom_site_fract_x
_atom_site_fract_y
_atom_site_fract_z
_atom_site_occupancy
Gd1 0.000 0.000 0.216 1
Dy1 0.500 0.500 0.500 1
Ag1 0.500 0.500 0.000 1
# - M_tot (μB/atom) = 3.7761
# - N(E_F) (states/eV/f.u.) = 6.3
# - volume (Å³/atom) = 28.6

=====

(b)
# PBE Gd2DyAg, relaxed
data_Gd2DyAg
_chemical_formula_sum 'Gd6 Dy3 Ag3'
_cell_length_a 3.5740
_cell_length_b 3.5740
_cell_length_c 31.6337
_cell_angle_alpha 90.00
_cell_angle_beta 90.00
_cell_angle_gamma 120.00
_space_group_name_H-M_alt 'R -3 m'
_space_group_IT_number 166
_space_group_name_Hall '-R 3 2"'
loop_
_atom_site_label
_atom_site_fract_x
_atom_site_fract_y
_atom_site_fract_z
_atom_site_occupancy
Gd1 0.0000 0.0000 0.2419 1
Dy1 0.0000 0.0000 0.0000 1
Ag1 0.0000 0.0000 0.5000 1
# - M_tot (μB/atom) = 3.6603
# - N(E_F) (states/eV/f.u.) = 4.8
# - volume (Å³/atom) = 29.2

=====

(c)
# PBE Gd2DyAg, relaxed
data_Gd2DyAg
_chemical_formula_sum 'Gd8 Dy4 Ag4'
_cell_length_a 7.633
_cell_length_b 7.633
_cell_length_c 7.633
_cell_angle_alpha 90.00
_cell_angle_beta 90.00
_cell_angle_gamma 90.00
_space_group_name_H-M_alt 'F m -3 m'
_space_group_IT_number 225
_space_group_name_Hall '-F 4 2 3'
loop_
_atom_site_label
_atom_site_fract_x
_atom_site_fract_y
_atom_site_fract_z
_atom_site_occupancy
Gd1 0.250 0.250 0.250 1
Dy1 0.000 0.000 0.000 1
Ag1 0.000 0.000 0.500 1
# - M_tot (μB/atom) = 3.7168
# - N(E_F) (states/eV/f.u.) = 4.6
# - volume (Å³/atom) = 27.8

=====

It comes down to (a), which is 0.108 eV/atom more stable than the next structure.

=====

(a)
# PBE GdDy2Ag, relaxed
data_GdDy2Ag
_chemical_formula_sum 'Gd1 Dy2 Ag1'
_cell_length_a 3.574
_cell_length_b 3.574
_cell_length_c 8.845
_cell_angle_alpha 90.00
_cell_angle_beta 90.00
_cell_angle_gamma 90.00
_space_group_name_H-M_alt 'P 4/m m m'
_space_group_IT_number 123
_space_group_name_Hall '-P 4 2'
loop_
_atom_site_label
_atom_site_fract_x
_atom_site_fract_y
_atom_site_fract_z
_atom_site_occupancy
Gd1 0.000 0.000 0.000 1
Dy1 0.500 0.500 0.288 1
Ag1 0.000 0.000 0.500 1
# - M_tot (μB/atom) = 1.9191
# - N(E_F) (states/eV/f.u.) = 5.7
# - volume (Å³/atom) = 28.2

=====

(b)
# PBE GdDy2Ag, relaxed
data_GdDy2Ag
_chemical_formula_sum 'Gd3 Dy6 Ag3'
_cell_length_a 3.5475
_cell_length_b 3.5475
_cell_length_c 31.5625
_cell_angle_alpha 90.00
_cell_angle_beta 90.00
_cell_angle_gamma 120.00
_space_group_name_H-M_alt 'R -3 m'
_space_group_IT_number 166
_space_group_name_Hall '-R 3 2"'
loop_
_atom_site_label
_atom_site_fract_x
_atom_site_fract_y
_atom_site_fract_z
_atom_site_occupancy
Gd1 0.0000 0.0000 0.0000 1
Dy1 0.0000 0.0000 0.2410 1
Ag1 0.0000 0.0000 0.5000 1
# - M_tot (μB/atom) = 1.8199
# - N(E_F) (states/eV/f.u.) = 5.0
# - volume (Å³/atom) = 28.7

=====

(c)
# PBE GdDy2Ag, relaxed
data_GdDy2Ag
_chemical_formula_sum 'Gd4 Dy8 Ag4'
_cell_length_a 7.587
_cell_length_b 7.587
_cell_length_c 7.587
_cell_angle_alpha 90.00
_cell_angle_beta 90.00
_cell_angle_gamma 90.00
_space_group_name_H-M_alt 'F m -3 m'
_space_group_IT_number 225
_space_group_name_Hall '-F 4 2 3'
loop_
_atom_site_label
_atom_site_fract_x
_atom_site_fract_y
_atom_site_fract_z
_atom_site_occupancy
Gd1 0.000 0.000 0.000 1
Dy1 0.250 0.250 0.250 1
Ag1 0.000 0.000 0.500 1
# - M_tot (μB/atom) = 2.0042
# - N(E_F) (states/eV/f.u.) = 6.4
# - volume (Å³/atom) = 27.3

=====

It comes down to (a), which is 0.111 eV/atom more stable than the next structure.

=====

(a)
# PBE GdDyAg, relaxed
data_GdDyAg
_chemical_formula_sum 'Gd1 Dy1 Ag1'
_cell_length_a 5.0670
_cell_length_b 5.0670
_cell_length_c 3.6486
_cell_angle_alpha 90.00
_cell_angle_beta 90.00
_cell_angle_gamma 120.00
_space_group_name_H-M_alt 'P 3 m 1'
_space_group_IT_number 156
_space_group_name_Hall 'P 3 -2"'
loop_
_atom_site_label
_atom_site_fract_x
_atom_site_fract_y
_atom_site_fract_z
_atom_site_occupancy
Gd1 0.0000 0.0000 0.0000 1
Dy1 0.6667 0.3333 0.4496 1
Ag1 0.3333 0.6667 0.6974 1
# - M_tot (μB/atom) = 2.4138
# - N(E_F) (states/eV/f.u.) = 3.1
# - volume (Å³/atom) = 27.0

=====

(b)
# PBE GdDyAg, relaxed
data_GdDyAg
_chemical_formula_sum 'Gd2 Dy2 Ag2'
_cell_length_a 3.628
_cell_length_b 3.628
_cell_length_c 12.385
_cell_angle_alpha 90.00
_cell_angle_beta 90.00
_cell_angle_gamma 90.00
_space_group_name_H-M_alt 'I 4 m m'
_space_group_IT_number 107
_space_group_name_Hall 'I 4 -2'
loop_
_atom_site_label
_atom_site_fract_x
_atom_site_fract_y
_atom_site_fract_z
_atom_site_occupancy
Gd1 0.000 0.000 0.000 1
Dy1 0.000 0.000 0.299 1
Ag1 0.000 0.000 0.656 1
# - M_tot (μB/atom) = 2.7183
# - N(E_F) (states/eV/f.u.) = 3.3
# - volume (Å³/atom) = 27.2

=====

It comes down to (b), which is 0.161 eV/atom more stable than the next structure.

=====

(a)
# PBE DyAg2Ge, relaxed
data_DyAg2Ge
_chemical_formula_sum 'Dy3 Ag6 Ge3'
_cell_length_a 3.0964
_cell_length_b 3.0964
_cell_length_c 31.5562
_cell_angle_alpha 90.00
_cell_angle_beta 90.00
_cell_angle_gamma 120.00
_space_group_name_H-M_alt 'R -3 m'
_space_group_IT_number 166
_space_group_name_Hall '-R 3 2"'
loop_
_atom_site_label
_atom_site_fract_x
_atom_site_fract_y
_atom_site_fract_z
_atom_site_occupancy
Dy1 0.0000 0.0000 0.0000 1
Ag1 0.0000 0.0000 0.0930 1
Ge1 0.0000 0.0000 0.5000 1
# - M_tot (μB/atom) = 0.0000
# - N(E_F) (states/eV/f.u.) = 1.9
# - volume (Å³/atom) = 21.8

=====

(b)
# PBE DyAg2Ge, relaxed
data_DyAg2Ge
_chemical_formula_sum 'Dy1 Ag2 Ge1'
_cell_length_a 4.182
_cell_length_b 4.182
_cell_length_c 4.739
_cell_angle_alpha 90.00
_cell_angle_beta 90.00
_cell_angle_gamma 90.00
_space_group_name_H-M_alt 'P 4/m m m'
_space_group_IT_number 123
_space_group_name_Hall '-P 4 2'
loop_
_atom_site_label
_atom_site_fract_x
_atom_site_fract_y
_atom_site_fract_z
_atom_site_occupancy
Dy1 0.000 0.000 0.000 1
Ag1 0.000 0.500 0.500 1
Ge1 0.500 0.500 0.000 1
# - M_tot (μB/atom) = 0.0000
# - N(E_F) (states/eV/f.u.) = 3.0
# - volume (Å³/atom) = 20.7

=====

It comes down to (b), which is 0.570 eV/atom more stable than the next structure.